No. 1
First-principles (PBE-GGA) data for a relaxed structure of Ac3Cd5Sn12, as listed in Alexandria.

```
data_Ac3Cd5Sn12
_symmetry_space_group_name_H-M 'P 1'
_symmetry_Int_Tables_number 1
_symmetry_space_group_name_Hall 'P 1'
_cell_length_a 15.975
_cell_length_b 15.975
_cell_length_c 15.975
_cell_angle_alpha 109.47
_cell_angle_beta 109.47
_cell_angle_gamma 109.47
loop_
_atom_site_label
_atom_site_type_symbol
_atom_site_fract_x
_atom_site_fract_y
_atom_site_fract_z
Sn1 Sn 0.288 0.863 0.934
Sn2 Sn 0.566 0.354 0.928
Sn3 Sn 0.212 0.646 0.074
Sn4 Sn 0.854 0.926 0.288
Sn5 Sn 0.137 0.712 0.566
Sn6 Sn 0.572 0.637 0.426
Sn7 Sn 0.434 0.788 0.863
Sn8 Sn 0.428 0.066 0.354
Sn9 Sn 0.934 0.363 0.288
Sn10 Sn 0.363 0.934 0.788
Sn11 Sn 0.712 0.574 0.146
Sn12 Sn 0.428 0.363 0.574
Sn13 Sn 0.926 0.854 0.788
Sn14 Sn 0.434 0.646 0.072
Sn15 Sn 0.074 0.928 0.363
Sn16 Sn 0.426 0.137 0.572
Sn17 Sn 0.146 0.074 0.712
Sn18 Sn 0.934 0.572 0.146
Sn19 Sn 0.566 0.212 0.137
Sn20 Sn 0.788 0.434 0.363
Sn21 Sn 0.363 0.428 0.074
Sn22 Sn 0.072 0.926 0.137
Sn23 Sn 0.574 0.863 0.428
Sn24 Sn 0.288 0.426 0.854
Sn25 Sn 0.354 0.788 0.426
Sn26 Sn 0.066 0.637 0.712
Sn27 Sn 0.928 0.074 0.863
Sn28 Sn 0.637 0.572 0.926
Sn29 Sn 0.146 0.072 0.934
Sn30 Sn 0.574 0.712 0.646
Sn31 Sn 0.074 0.146 0.212
Sn32 Sn 0.572 0.934 0.646
Sn33 Sn 0.212 0.566 0.637
Sn34 Sn 0.646 0.434 0.572
Sn35 Sn 0.646 0.212 0.574
Sn36 Sn 0.137 0.426 0.072
Sn37 Sn 0.354 0.566 0.428
Sn38 Sn 0.926 0.072 0.637
Sn39 Sn 0.863 0.288 0.434
Sn40 Sn 0.072 0.146 0.434
Sn41 Sn 0.637 0.066 0.212
Sn42 Sn 0.712 0.137 0.066
Sn43 Sn 0.928 0.854 0.566
Sn44 Sn 0.863 0.574 0.928
Sn45 Sn 0.788 0.354 0.926
Sn46 Sn 0.854 0.928 0.066
Sn47 Sn 0.066 0.428 0.854
Sn48 Sn 0.426 0.288 0.354
Cd1 Cd 0.500 0.000 0.000
Cd2 Cd 0.375 0.250 0.125
Cd3 Cd 0.750 0.125 0.875
Cd4 Cd 0.625 0.750 0.875
Cd5 Cd 0.500 0.500 0.500
Cd6 Cd 0.375 0.125 0.750
Cd7 Cd 0.750 0.625 0.375
Cd8 Cd 0.000 0.000 0.500
Cd9 Cd 0.875 0.250 0.625
Cd10 Cd 0.000 0.500 0.000
Cd11 Cd 0.250 0.375 0.625
Cd12 Cd 0.125 0.375 0.250
Cd13 Cd 0.625 0.875 0.250
Cd14 Cd 0.250 0.875 0.125
Cd15 Cd 0.875 0.625 0.750
Cd16 Cd 0.500 0.500 0.000
Cd17 Cd 0.000 0.000 0.000
Cd18 Cd 0.500 0.000 0.500
Cd19 Cd 0.125 0.750 0.375
Cd20 Cd 0.000 0.500 0.500
Ac1 Ac 0.625 0.250 0.375
Ac2 Ac 0.125 0.250 0.875
Ac3 Ac 0.250 0.125 0.375
Ac4 Ac 0.375 0.625 0.250
Ac5 Ac 0.750 0.875 0.625
Ac6 Ac 0.875 0.750 0.125
Ac7 Ac 0.250 0.625 0.875
Ac8 Ac 0.875 0.125 0.250
Ac9 Ac 0.750 0.375 0.125
Ac10 Ac 0.375 0.750 0.625
Ac11 Ac 0.125 0.875 0.750
Ac12 Ac 0.625 0.375 0.750
```

Properties
Uncorrected energy: -3.1161 eV/atom
DOS(E_F): 9.0 states/eV/f.u.
SG: No. 230

=====

No. 2
First-principles (PBE-GGA) data for a relaxed structure of AcCdSn3, as listed in Alexandria.

```
data_AcCdSn3
_symmetry_space_group_name_H-M 'P 1'
_symmetry_Int_Tables_number 1
_symmetry_space_group_name_Hall 'P 1'
_cell_length_a 6.729
_cell_length_b 7.277
_cell_length_c 7.277
_cell_angle_alpha 120.00
_cell_angle_beta 90.00
_cell_angle_gamma 90.00
loop_
_atom_site_label
_atom_site_type_symbol
_atom_site_fract_x
_atom_site_fract_y
_atom_site_fract_z
Ac1 Ac 0.250 0.334 0.666
Ac2 Ac 0.750 0.666 0.334
Sn1 Sn 0.750 0.197 0.803
Sn2 Sn 0.250 0.394 0.197
Sn3 Sn 0.750 0.606 0.803
Sn4 Sn 0.250 0.803 0.606
Sn5 Sn 0.250 0.803 0.197
Sn6 Sn 0.750 0.197 0.394
Cd1 Cd 0.000 0.000 0.000
Cd2 Cd 0.500 0.000 0.000
```

Properties
Uncorrected energy: -3.6175 eV/atom
DOS(E_F): 2.8 states/eV/f.u.
SG: No. 194

=====

No. 3
First-principles (PBE-GGA) data for a relaxed structure of Ac6CdSn5, as listed in Alexandria.

```
data_Ac6CdSn5
_symmetry_space_group_name_H-M 'P 1'
_symmetry_Int_Tables_number 1
_symmetry_space_group_name_Hall 'P 1'
_cell_length_a 5.964
_cell_length_b 9.719
_cell_length_c 10.234
_cell_angle_alpha 61.65
_cell_angle_beta 73.04
_cell_angle_gamma 52.11
loop_
_atom_site_label
_atom_site_type_symbol
_atom_site_fract_x
_atom_site_fract_y
_atom_site_fract_z
Ac1 Ac 0.744 0.086 0.340
Ac2 Ac 0.762 0.737 0.000
Ac3 Ac 0.256 0.574 0.340
Ac4 Ac 0.744 0.426 0.660
Ac5 Ac 0.238 0.263 0.000
Ac6 Ac 0.256 0.914 0.660
Cd1 Cd 0.000 0.000 0.000
Sn1 Sn 0.000 0.669 0.662
Sn2 Sn 0.500 0.158 0.684
Sn3 Sn 0.500 0.500 0.000
Sn4 Sn 0.000 0.331 0.338
Sn5 Sn 0.500 0.842 0.316
```

Properties
Uncorrected energy: -4.3676 eV/atom
DOS(E_F): 8.8 states/eV/f.u.
SG: No. 71

=====

No. 4
First-principles (PBE-GGA) data for a relaxed structure of AcCdSn2, as listed in Alexandria.

```
data_AcCdSn2
_symmetry_space_group_name_H-M 'P 1'
_symmetry_Int_Tables_number 1
_symmetry_space_group_name_Hall 'P 1'
_cell_length_a 4.747
_cell_length_b 4.966
_cell_length_c 4.966
_cell_angle_alpha 90.00
_cell_angle_beta 90.00
_cell_angle_gamma 90.00
loop_
_atom_site_label
_atom_site_type_symbol
_atom_site_fract_x
_atom_site_fract_y
_atom_site_fract_z
Sn1 Sn 0.000 0.500 0.000
Sn2 Sn 0.000 0.000 0.500
Ac1 Ac 0.500 0.500 0.500
Cd1 Cd 0.500 0.000 0.000
```

Properties
Uncorrected energy: -3.7091 eV/atom
DOS(E_F): 1.9 states/eV/f.u.
SG: No. 123
Distance to the lowest polymorph of the same formula: 0 meV/atom

=====

No. 5
First-principles (PBE-GGA) data for a relaxed structure of Ac3CdSn2, as listed in Alexandria.

```
data_Ac3CdSn2
_symmetry_space_group_name_H-M 'P 1'
_symmetry_Int_Tables_number 1
_symmetry_space_group_name_Hall 'P 1'
_cell_length_a 6.911
_cell_length_b 6.953
_cell_length_c 9.476
_cell_angle_alpha 103.10
_cell_angle_beta 111.39
_cell_angle_gamma 90.00
loop_
_atom_site_label
_atom_site_type_symbol
_atom_site_fract_x
_atom_site_fract_y
_atom_site_fract_z
Ac1 Ac 0.285 0.117 0.353
Ac2 Ac 0.932 0.383 0.647
Ac3 Ac 0.068 0.617 0.353
Ac4 Ac 0.661 0.250 0.000
Ac5 Ac 0.715 0.883 0.647
Ac6 Ac 0.339 0.750 0.000
Sn1 Sn 0.756 0.033 0.308
Sn2 Sn 0.552 0.533 0.308
Sn3 Sn 0.448 0.467 0.692
Sn4 Sn 0.244 0.967 0.692
Cd1 Cd 0.849 0.750 0.000
Cd2 Cd 0.151 0.250 0.000
```

Properties
Uncorrected energy: -4.0121 eV/atom
DOS(E_F): 4.0 states/eV/f.u.
SG: No. 15
Distance to the lowest polymorph of the same formula: 93 meV/atom

=====

No. 6
First-principles (PBE-GGA) data for a relaxed structure of Ac2CdSn5, as listed in Alexandria.

```
data_Ac2CdSn5
_symmetry_space_group_name_H-M 'P 1'
_symmetry_Int_Tables_number 1
_symmetry_space_group_name_Hall 'P 1'
_cell_length_a 6.982
_cell_length_b 6.982
_cell_length_c 6.926
_cell_angle_alpha 120.04
_cell_angle_beta 120.04
_cell_angle_gamma 90.40
loop_
_atom_site_label
_atom_site_type_symbol
_atom_site_fract_x
_atom_site_fract_y
_atom_site_fract_z
Sn1 Sn 0.237 0.237 0.955
Sn2 Sn 0.710 0.710 0.419
Sn3 Sn 0.717 0.238 0.955
Sn4 Sn 0.238 0.717 0.955
Sn5 Sn 0.719 0.719 0.955
Ac1 Ac 0.729 0.229 0.457
Ac2 Ac 0.229 0.729 0.457
Cd1 Cd 0.200 0.200 0.399
```

Properties
Uncorrected energy: -4.1231 eV/atom
DOS(E_F): 4.0 states/eV/f.u.
SG: No. 42